Record 1
SrNdZnHg | PBE | relaxed

The space group is P4mm (No. 99) and the conventional cell measures 3.854, 3.854 and 7.728 Å, with angles of 90.00, 90.00 and 90.00 degrees. The inequivalent atoms are Sr at (0.000, 0.000, 0.000), Nd at (0.000, 0.000, 0.480), Zn at (0.500, 0.500, 0.271) and Hg at (0.500, 0.500, 0.722).

The calculation puts the energy above the most stable polymorph in this dataset at 0.000 eV per atom. The volume comes out at 114.79 Å³/f.u. The value obtained for the density of states at the Fermi level is 3.7 states/eV/f.u.

***

Record 2
Nd2TaHg | PBE | relaxed

The space group is R-3m (No. 166, hexagonal axes) and the conventional cell measures 3.2571, 3.2571 and 34.8467 Å, with angles of 90.00, 90.00 and 120.00 degrees. The inequivalent atoms are Nd at (0.0000, 0.0000, 0.0854), Ta at (0.0000, 0.0000, 0.0000) and Hg at (0.0000, 0.0000, 0.5000).

The volume comes out at 106.72 Å³/f.u. The value obtained for the density of states at the Fermi level is 6.3 states/eV/f.u.

***

Record 3
Tb8NdHg6 | PBE | relaxed

The space group is R-3 (No. 148, hexagonal axes) and the conventional cell measures 9.0034, 9.0034 and 19.0689 Å, with angles of 90.00, 90.00 and 120.00 degrees. The inequivalent atoms are Tb at (0.0000, 0.0000, 0.1686), Tb at (0.0035, 0.3289, 0.6136), Nd at (0.0000, 0.0000, 0.5000) and Hg at (0.9999, 0.3420, 0.4424).

The volume comes out at 446.21 Å³/f.u. The value obtained for the density of states at the Fermi level is 17.9 states/eV/f.u.

***

Record 4
Tb2Nd3Hg7 | PBE | relaxed

The space group is Cmmm (No. 65) and the conventional cell measures 5.213, 23.170 and 5.606 Å, with angles of 90.00, 90.00 and 90.00 degrees. The inequivalent atoms are Tb at (0.000, 0.142, 0.000), Nd at (0.000, 0.329, 0.500), Nd at (0.000, 0.500, 0.500), Hg at (0.000, 0.000, 0.000), Hg at (0.000, 0.087, 0.500), Hg at (0.000, 0.276, 0.000) and Hg at (0.000, 0.425, 0.000).

The volume comes out at 338.55 Å³/f.u. The value obtained for the density of states at the Fermi level is 8.6 states/eV/f.u.

***

Record 5
TbNd12Hg6 | PBE | relaxed

The space group is R-3 (No. 148, hexagonal axes) and the conventional cell measures 11.5456, 11.5456 and 14.8647 Å, with angles of 90.00, 90.00 and 120.00 degrees. The inequivalent atoms are Tb at (0.0000, 0.0000, 0.0000), Nd at (0.0572, 0.2228, 0.4113), Nd at (0.0743, 0.8826, 0.7987) and Hg at (0.0344, 0.5913, 0.7144).

The volume comes out at 572.01 Å³/f.u. The value obtained for the density of states at the Fermi level is 21.5 states/eV/f.u.

***

Record 6
Tb3Nd3Hg2 | PBE | relaxed

The space group is Cmcm (No. 63) and the conventional cell measures 5.248, 11.905 and 15.964 Å, with angles of 90.00, 90.00 and 90.00 degrees. The inequivalent atoms are Tb at (0.000, 0.070, 0.250), Tb at (0.000, 0.141, 0.534), Nd at (0.000, 0.215, 0.750), Nd at (0.000, 0.461, 0.609) and Hg at (0.000, 0.270, 0.126).

The volume comes out at 249.34 Å³/f.u. The value obtained for the density of states at the Fermi level is 9.1 states/eV/f.u.

***

Record 7
Tb3NdHg | PBE | relaxed

The space group is C2/m (No. 12) and the conventional cell measures 11.354, 7.439 and 7.974 Å, with angles of 90.00, 110.67 and 90.00 degrees. The inequivalent atoms are Tb at (0.062, 0.000, 0.244), Tb at (0.160, 0.249, 0.643), Nd at (0.060, 0.500, 0.237) and Hg at (0.240, 0.000, 0.000).

The calculation puts the energy above the most stable polymorph in this dataset at 0.067 eV per atom. The volume comes out at 157.52 Å³/f.u. The value obtained for the density of states at the Fermi level is 5.2 states/eV/f.u.

***

Record 8
Tb5Nd3Hg2 | PBE | relaxed

The space group is Ibam (No. 72) and the conventional cell measures 13.775, 14.095 and 6.790 Å, with angles of 90.00, 90.00 and 90.00 degrees. The inequivalent atoms are Tb at (0.000, 0.000, 0.250), Tb at (0.088, 0.180, 0.000), Tb at (0.231, 0.000, 0.250), Nd at (0.000, 0.500, 0.250), Nd at (0.150, 0.275, 0.500) and Hg at (0.141, 0.375, 0.000).

The volume comes out at 329.56 Å³/f.u. The value obtained for the density of states at the Fermi level is 11.1 states/eV/f.u.

***

Record 9
TbNd5Hg4 | PBE | relaxed

The space group is P4/mmm (No. 123) and the conventional cell measures 3.801, 3.801 and 20.377 Å, with angles of 90.00, 90.00 and 90.00 degrees. The inequivalent atoms are Tb at (0.000, 0.000, 0.000), Nd at (0.500, 0.500, 0.119), Nd at (0.500, 0.500, 0.310), Nd at (0.500, 0.500, 0.500), Hg at (0.000, 0.000, 0.212) and Hg at (0.000, 0.000, 0.405).

The volume comes out at 294.38 Å³/f.u. The value obtained for the density of states at the Fermi level is 11.7 states/eV/f.u.

***

Record 10
Tb2Nd3Hg4 | PBE | relaxed

The space group is Cmce (No. 64) and the conventional cell measures 6.924, 19.166 and 8.085 Å, with angles of 90.00, 90.00 and 90.00 degrees. The inequivalent atoms are Tb at (0.000, 0.093, 0.085), Nd at (0.000, 0.000, 0.500), Nd at (0.250, 0.240, 0.750), Hg at (0.000, 0.159, 0.461) and Hg at (0.250, 0.073, 0.750).

The volume comes out at 268.23 Å³/f.u. The value obtained for the density of states at the Fermi level is 8.9 states/eV/f.u.

***

Record 11
Tb2Nd6Hg | PBE | relaxed

The space group is Immm (No. 71) and the conventional cell measures 3.620, 10.401 and 16.007 Å, with angles of 90.00, 90.00 and 90.00 degrees. The inequivalent atoms are Tb at (0.000, 0.000, 0.150), Nd at (0.000, 0.290, 0.500), Nd at (0.000, 0.339, 0.178) and Hg at (0.000, 0.500, 0.000).

The calculation puts the energy above the most stable polymorph in this dataset at 0.096 eV per atom. The volume comes out at 301.31 Å³/f.u. The value obtained for the density of states at the Fermi level is 11.8 states/eV/f.u.

***

Record 12
TbNdHg4 | PBE | relaxed

The space group is Pmmm (No. 47) and the conventional cell measures 4.551, 4.565 and 8.684 Å, with angles of 90.00, 90.00 and 90.00 degrees. The inequivalent atoms are Tb at (0.000, 0.000, 0.000), Nd at (0.500, 0.500, 0.500), Hg at (0.000, 0.500, 0.241) and Hg at (0.500, 0.000, 0.242).

The calculation puts the energy above the most stable polymorph in this dataset at 0.170 eV per atom. The volume comes out at 180.40 Å³/f.u. The value obtained for the density of states at the Fermi level is 3.8 states/eV/f.u.

***

Result set for E_form: -1.48, 2.14, -3.63, -4.01, -3.80, -1.42, -0.52, 0.24, -3.65, -2.54, -0.01, -1.11 eV/f.u., one per record in the order listed.